No. 1
# CaCu2Pt

A relaxed structure of CaCu2Pt (GGA-PBE, Alexandria).

a = 4.577 Å, b = 4.577 Å, c = 4.577 Å
α = 60.00°, β = 60.00°, γ = 60.00°
Atoms (fractional coordinates):
Cu: 0.000 0.000 0.000
Cu: 0.250 0.250 0.250
Ca: 0.500 0.500 0.500
Pt: 0.750 0.750 0.750

Results
**Calculated total energy**: -4.22 eV per atom
**Space group**: F-43m
**ΔE_f**: -0.16 eV/atom
**Total magnetic moment**: 0.00 μB per formula unit
**Crystal system**: cubic

No. 2
# Ca3CuPt3

A relaxed structure of Ca3CuPt3 (GGA-PBE, Alexandria).

a = 4.282 Å, b = 5.582 Å, c = 13.868 Å
α = 90.00°, β = 90.00°, γ = 112.55°
Atoms (fractional coordinates):
Ca: 0.495 0.991 0.750
Ca: 0.787 0.574 0.397
Ca: 0.505 0.009 0.250
Ca: 0.787 0.574 0.103
Ca: 0.213 0.426 0.603
Ca: 0.213 0.426 0.897
Pt: 0.788 0.576 0.750
Pt: 0.212 0.424 0.250
Pt: 0.077 0.155 0.415
Pt: 0.923 0.845 0.585
Pt: 0.077 0.155 0.085
Pt: 0.923 0.845 0.915
Cu: 0.500 0.000 0.000
Cu: 0.500 0.000 0.500

Results
**Calculated total energy**: -4.83 eV per atom
**Space group**: Cmcm
**ΔE_f**: -0.80 eV/atom
**Total magnetic moment**: 0.00 μB per formula unit
**Crystal system**: orthorhombic

No. 3
# CaCuPt2

A relaxed structure of CaCuPt2 (GGA-PBE, Alexandria).

a = 4.617 Å, b = 4.617 Å, c = 4.617 Å
α = 60.00°, β = 60.00°, γ = 60.00°
Atoms (fractional coordinates):
Pt: 0.250 0.250 0.250
Pt: 0.000 0.000 0.000
Cu: 0.750 0.750 0.750
Ca: 0.500 0.500 0.500

Results
**Calculated total energy**: -4.87 eV per atom
**Space group**: F-43m
**ΔE_f**: -0.33 eV/atom
**Total magnetic moment**: 0.00 μB per formula unit
**Crystal system**: cubic

No. 4
# Ca3Cu2Pt

A relaxed structure of Ca3Cu2Pt (GGA-PBE, Alexandria).

a = 4.267 Å, b = 11.686 Å, c = 11.868 Å
α = 90.00°, β = 90.00°, γ = 90.00°
Atoms (fractional coordinates):
Cu: 0.250 0.810 0.979
Cu: 0.250 0.497 0.803
Cu: 0.750 0.190 0.021
Cu: 0.750 0.503 0.197
Cu: 0.750 0.310 0.521
Cu: 0.750 0.997 0.697
Cu: 0.250 0.690 0.479
Cu: 0.250 0.003 0.303
Pt: 0.250 0.127 0.126
Pt: 0.250 0.373 0.626
Pt: 0.750 0.873 0.874
Pt: 0.750 0.627 0.374
Ca: 0.250 0.700 0.219
Ca: 0.250 0.445 0.385
Ca: 0.250 0.800 0.719
Ca: 0.750 0.627 0.948
Ca: 0.250 0.055 0.885
Ca: 0.750 0.873 0.448
Ca: 0.750 0.555 0.615
Ca: 0.250 0.373 0.052
Ca: 0.750 0.945 0.115
Ca: 0.750 0.300 0.781
Ca: 0.250 0.127 0.552
Ca: 0.750 0.200 0.281

Results
**Calculated total energy**: -3.78 eV per atom
**Space group**: Pnma
**ΔE_f**: -0.41 eV/atom
**Total magnetic moment**: 0.00 μB per formula unit
**Crystal system**: orthorhombic

No. 5
# CaCuPt2

A relaxed structure of CaCuPt2 (GGA-PBE, Alexandria).

a = 4.542 Å, b = 2.878 Å, c = 5.473 Å
α = 74.26°, β = 90.00°, γ = 90.00°
Atoms (fractional coordinates):
Pt: 0.000 0.811 0.990
Pt: 0.500 0.199 0.226
Ca: 0.000 0.561 0.513
Cu: 0.500 0.929 0.771

Results
**Calculated total energy**: -4.88 eV per atom
**Space group**: Pm
**ΔE_f**: -0.33 eV/atom
**Total magnetic moment**: 0.00 μB per formula unit
**Crystal system**: monoclinic

No. 6
# CaCu2Pt

A relaxed structure of CaCu2Pt (GGA-PBE, Alexandria).

a = 9.081 Å, b = 9.081 Å, c = 9.081 Å
α = 18.67°, β = 18.67°, γ = 18.67°
Atoms (fractional coordinates):
Ca: 0.750 0.750 0.750
Cu: 0.994 0.994 0.994
Cu: 0.506 0.506 0.506
Pt: 0.250 0.250 0.250

Results
**Calculated total energy**: -3.76 eV per atom
**Space group**: R-3m
**ΔE_f**: 0.30 eV/atom
**Total magnetic moment**: 0.00 μB per formula unit
**Crystal system**: trigonal

No. 7
# Ca2CuPt2

A relaxed structure of Ca2CuPt2 (GGA-PBE, Alexandria).

a = 5.577 Å, b = 5.577 Å, c = 5.483 Å
α = 59.43°, β = 59.43°, γ = 90.00°
Atoms (fractional coordinates):
Pt: 0.671 0.671 0.659
Pt: 0.329 0.329 0.341
Ca: 0.750 0.250 0.500
Ca: 0.250 0.750 0.500
Cu: 0.000 0.000 0.000

Results
**Calculated total energy**: -4.51 eV per atom
**Space group**: I4/mmm
**ΔE_f**: -0.47 eV/atom
**Total magnetic moment**: 0.00 μB per formula unit
**Crystal system**: tetragonal

No. 8
# CaCuPt2

A relaxed structure of CaCuPt2 (GGA-PBE, Alexandria).

a = 3.758 Å, b = 2.967 Å, c = 6.857 Å
α = 64.19°, β = 90.00°, γ = 90.00°
Atoms (fractional coordinates):
Cu: 0.500 0.750 0.750
Pt: 0.000 0.465 0.533
Pt: 0.000 0.035 0.967
Ca: 0.500 0.250 0.250

Results
**Calculated total energy**: -4.95 eV per atom
**Space group**: P2/m
**ΔE_f**: -0.41 eV/atom
**Total magnetic moment**: 0.00 μB per formula unit
**Crystal system**: monoclinic

No. 9
# Ca2CuPt2

A relaxed structure of Ca2CuPt2 (GGA-PBE, Alexandria).

a = 5.609 Å, b = 5.609 Å, c = 7.963 Å
α = 77.99°, β = 77.99°, γ = 59.27°
Atoms (fractional coordinates):
Pt: 0.995 0.262 0.996
Pt: 0.005 0.738 0.004
Pt: 0.262 0.995 0.496
Pt: 0.738 0.005 0.504
Ca: 0.514 0.788 0.847
Ca: 0.212 0.486 0.653
Ca: 0.486 0.212 0.153
Ca: 0.788 0.514 0.347
Cu: 0.139 0.861 0.250
Cu: 0.861 0.139 0.750

Results
**Calculated total energy**: -4.79 eV per atom
**Space group**: C2/c
**ΔE_f**: -0.76 eV/atom
**Total magnetic moment**: 0.00 μB per formula unit
**Crystal system**: monoclinic

No. 10
# Ca2CuPtRh

A relaxed structure of Ca2CuPtRh (GGA-PBE, Alexandria).

a = 5.442 Å, b = 4.796 Å, c = 5.442 Å
α = 90.00°, β = 90.00°, γ = 90.00°
Atoms (fractional coordinates):
Pt: 0.000 0.000 0.000
Ca: 0.500 0.000 0.000
Ca: 0.000 0.000 0.500
Cu: 0.500 0.500 0.500
Rh: 0.000 0.500 0.000

Results
**Calculated total energy**: -4.09 eV per atom
**Space group**: P4/mmm
**ΔE_f**: 0.21 eV/atom
**Total magnetic moment**: 0.00 μB per formula unit
**Crystal system**: tetragonal

No. 11
# CaCu2RuPt

A relaxed structure of CaCu2RuPt (GGA-PBE, Alexandria).

a = 4.747 Å, b = 4.804 Å, c = 4.747 Å
α = 90.00°, β = 90.00°, γ = 90.00°
Atoms (fractional coordinates):
Ca: 0.500 0.500 0.500
Cu: 0.500 0.000 0.000
Cu: 0.000 0.000 0.500
Ru: 0.000 0.500 0.000
Pt: 0.000 0.000 0.000

Results
**Calculated total energy**: -4.57 eV per atom
**Space group**: P4/mmm
**ΔE_f**: 0.53 eV/atom
**Total magnetic moment**: 0.01 μB per formula unit
**Crystal system**: tetragonal

No. 12
# CaCuPt2S

A relaxed structure of CaCuPt2S (GGA-PBE, Alexandria).

a = 4.561 Å, b = 5.041 Å, c = 4.561 Å
α = 90.00°, β = 90.00°, γ = 90.00°
Atoms (fractional coordinates):
Pt: 0.000 0.000 0.500
Pt: 0.500 0.000 0.000
Cu: 0.500 0.500 0.500
Ca: 0.000 0.500 0.000
S: 0.000 0.000 0.000

Results
**Calculated total energy**: -4.46 eV per atom
**Space group**: P4/mmm
**Total magnetic moment**: 0.00 μB per formula unit
**Crystal system**: tetragonal
**Raw formation energy**: 0.002 eV/atom